1.
Density functional theory data (PBE-GGA) for a geometry-optimized TaSb3I structure.

As for the symmetry: No. 221. For the uncorrected formation energy, the calculation gives 1.8816 eV/atom. The value obtained for the excess energy over the best structure of this formula in the dataset is 1630 meV/atom.

a b c (Å): 5.5925 5.5925 5.5925
angles (deg): 90.00 90.00 90.00
Fractional coordinates of all 5 atoms:
Sb (0.5000, 0.0000, 0.0000)
Sb (0.0000, 0.0000, 0.5000)
Ta (0.5000, 0.5000, 0.5000)
I (0.0000, 0.0000, 0.0000)
Sb (0.0000, 0.5000, 0.0000)


2.
Density functional theory data (PBE-GGA) for a geometry-optimized TaSbI3 structure.

As for the symmetry: No. 221. For the uncorrected formation energy, the calculation gives 0.5607 eV/atom. The value obtained for the excess energy over the best structure of this formula in the dataset is 0 meV/atom.

a b c (Å): 5.5888 5.5888 5.5888
angles (deg): 90.00 90.00 90.00
Fractional coordinates of all 5 atoms:
I (0.0000, 0.0000, 0.5000)
I (0.5000, 0.0000, 0.0000)
Sb (0.5000, 0.5000, 0.5000)
I (0.0000, 0.5000, 0.0000)
Ta (0.0000, 0.0000, 0.0000)


3.
Density functional theory data (PBE-GGA) for a geometry-optimized TaTcSbI2 structure.

As for the symmetry: No. 123. For the uncorrected formation energy, the calculation gives 1.2749 eV/atom. The value obtained for the excess energy over the best structure of this formula in the dataset is 0 meV/atom.

a b c (Å): 5.4704 5.4704 5.5278
angles (deg): 90.00 90.00 90.00
Fractional coordinates of all 5 atoms:
Ta (0.0000, 0.0000, 0.0000)
I (0.5000, 0.0000, 0.0000)
Sb (0.0000, 0.0000, 0.5000)
I (0.0000, 0.5000, 0.0000)
Tc (0.5000, 0.5000, 0.5000)


4.
Density functional theory data (PBE-GGA) for a geometry-optimized TaSbTeI2 structure.

As for the symmetry: No. 123. For the uncorrected formation energy, the calculation gives 1.2917 eV/atom. The value obtained for the excess energy over the best structure of this formula in the dataset is 855 meV/atom.

a b c (Å): 5.8146 5.8146 5.9560
angles (deg): 90.00 90.00 90.00
Fractional coordinates of all 5 atoms:
Ta (0.5000, 0.5000, 0.5000)
I (0.0000, 0.5000, 0.0000)
Sb (0.0000, 0.0000, 0.0000)
I (0.5000, 0.0000, 0.0000)
Te (0.0000, 0.0000, 0.5000)


5.
Density functional theory data (PBE-GGA) for a geometry-optimized TaSbTeI2 structure.

As for the symmetry: No. 123. For the uncorrected formation energy, the calculation gives 1.6590 eV/atom. The value obtained for the excess energy over the best structure of this formula in the dataset is 1222 meV/atom.

a b c (Å): 5.7460 5.7460 5.9970
angles (deg): 90.00 90.00 90.00
Fractional coordinates of all 5 atoms:
Sb (0.0000, 0.0000, 0.5000)
Te (0.0000, 0.0000, 0.0000)
Ta (0.5000, 0.5000, 0.5000)
I (0.5000, 0.0000, 0.0000)
I (0.0000, 0.5000, 0.0000)


6.
Density functional theory data (PBE-GGA) for a geometry-optimized TaSbTeI2 structure.

As for the symmetry: No. 123. For the uncorrected formation energy, the calculation gives 0.4935 eV/atom. The value obtained for the excess energy over the best structure of this formula in the dataset is 57 meV/atom.

a b c (Å): 5.5343 5.5343 5.4949
angles (deg): 90.00 90.00 90.00
Fractional coordinates of all 5 atoms:
I (0.0000, 0.5000, 0.0000)
Sb (0.5000, 0.5000, 0.5000)
Te (0.0000, 0.0000, 0.5000)
I (0.5000, 0.0000, 0.0000)
Ta (0.0000, 0.0000, 0.0000)


7.
Density functional theory data (PBE-GGA) for a geometry-optimized TaSbTeI2 structure.

As for the symmetry: No. 123. For the uncorrected formation energy, the calculation gives 0.4368 eV/atom. The value obtained for the excess energy over the best structure of this formula in the dataset is 0 meV/atom.

a b c (Å): 5.3283 5.3283 5.7475
angles (deg): 90.00 90.00 90.00
Fractional coordinates of all 5 atoms:
I (0.5000, 0.0000, 0.0000)
Ta (0.0000, 0.0000, 0.0000)
Te (0.5000, 0.5000, 0.5000)
I (0.0000, 0.5000, 0.0000)
Sb (0.0000, 0.0000, 0.5000)


8.
Density functional theory data (PBE-GGA) for a geometry-optimized TaTiSbI2 structure.

As for the symmetry: No. 123. For the uncorrected formation energy, the calculation gives 1.0008 eV/atom.

a b c (Å): 5.2826 5.2826 5.5626
angles (deg): 90.00 90.00 90.00
Fractional coordinates of all 5 atoms:
Sb (0.0000, 0.0000, 0.5000)
I (0.0000, 0.5000, 0.0000)
Ti (0.0000, 0.0000, 0.0000)
Ta (0.5000, 0.5000, 0.5000)
I (0.5000, 0.0000, 0.0000)